Record 1
Crystalline GdTa4O12 at its relaxed geometry. Source: the Alexandria database, functional PBE.

abc: 5.541 5.541 7.970
angles: 90.00 90.00 90.28
Fractional positions:
Gd 0.698 0.302 0.000
Ta 0.749 0.761 0.259
Ta 0.239 0.251 0.259
Ta 0.749 0.761 0.741
Ta 0.239 0.251 0.741
O 0.037 0.963 0.252
O 0.037 0.963 0.748
O 0.545 0.040 0.228
O 0.960 0.455 0.772
O 0.545 0.040 0.772
O 0.960 0.455 0.228
O 0.760 0.740 0.000
O 0.260 0.240 0.000
O 0.732 0.738 0.500
O 0.262 0.268 0.500
O 0.486 0.514 0.223
O 0.486 0.514 0.777

Results
Spin magnetization (μB per atom): 0.473
Raw total energy (eV per atom): -9.94
Raw formation energy (kJ/mol of formula units): -4636.9
Space-group type: Amm2, No. 38

=====

Record 2
Crystalline NaTl5 at its relaxed geometry. Source: the Alexandria database, functional PBE.

abc: 5.919 6.955 10.696
angles: 90.00 90.00 126.03
Fractional positions:
Na 0.751 0.502 0.250
Na 0.249 0.498 0.750
Tl 0.750 0.002 0.250
Tl 0.250 0.998 0.750
Tl 0.250 0.001 0.416
Tl 0.750 0.999 0.916
Tl 0.750 0.999 0.584
Tl 0.250 0.001 0.084
Tl 0.250 0.501 0.417
Tl 0.750 0.499 0.917
Tl 0.750 0.499 0.583
Tl 0.250 0.501 0.083

Results
Spin magnetization (μB per atom): 0.000
Raw total energy (eV per atom): -2.23
Space-group type: P2_1/m, No. 11

=====

Record 3
Crystalline PaRe2Si at its relaxed geometry. Source: the Alexandria database, functional PBE.

abc: 3.905 3.906 9.850
angles: 90.00 101.43 90.00
Fractional positions:
Pa 0.402 0.250 0.804
Pa 0.598 0.750 0.196
Re 0.750 0.250 0.500
Re 0.250 0.750 0.500
Re 0.044 0.250 0.087
Re 0.956 0.750 0.913
Si 0.170 0.250 0.340
Si 0.830 0.750 0.660

Results
Spin magnetization (μB per atom): 0.000
Raw total energy (eV per atom): -10.16
Raw formation energy (kJ/mol of formula units): -79.3
Space-group type: Cmcm, No. 63

=====

Record 4
Crystalline Mg4Cu2Ir at its relaxed geometry. Source: the Alexandria database, functional PBE.

abc: 4.420 4.420 7.587
angles: 73.07 73.07 60.00
Fractional positions:
Mg 0.873 0.873 0.382
Mg 0.127 0.127 0.618
Mg 0.622 0.622 0.135
Mg 0.378 0.378 0.865
Cu 0.743 0.743 0.770
Cu 0.257 0.257 0.230
Ir 0.000 0.000 0.000

Results
Spin magnetization (μB per atom): 0.000
Raw total energy (eV per atom): -3.52
Space-group type: R-3m, No. 166

=====

Record 5
Crystalline KCdTcGe2 at its relaxed geometry. Source: the Alexandria database, functional PBE.

abc: 4.828 4.828 5.407
angles: 90.00 90.00 90.00
Fractional positions:
K 0.500 0.500 0.500
Ge 0.000 0.500 0.000
Ge 0.500 0.000 0.000
Tc 0.000 0.000 0.000
Cd 0.000 0.000 0.500

Results
Spin magnetization (μB per atom): 0.000
Raw total energy (eV per atom): -4.37
Space-group type: P4/mmm, No. 123

=====

Record 6
Crystalline Y3PbO at its relaxed geometry. Source: the Alexandria database, functional PBE.

abc: 22.077 9.670 7.568
angles: 90.00 160.98 90.00
Fractional positions:
Pb 0.611 0.750 0.890
Pb 0.389 0.250 0.110
Pb 0.889 0.250 0.610
Pb 0.111 0.750 0.390
Y 0.069 0.062 0.432
Y 0.931 0.938 0.568
Y 0.431 0.562 0.068
Y 0.569 0.438 0.932
Y 0.230 0.250 0.268
Y 0.770 0.750 0.732
Y 0.270 0.750 0.232
Y 0.730 0.250 0.768
Y 0.431 0.938 0.068
Y 0.569 0.062 0.932
Y 0.069 0.438 0.432
Y 0.931 0.562 0.568
O 0.026 0.250 0.475
O 0.974 0.750 0.525
O 0.474 0.750 0.025
O 0.526 0.250 0.975

Results
Spin magnetization (μB per atom): 0.000
Raw total energy (eV per atom): -6.99
Raw formation energy (kJ/mol of formula units): -663.4
Space-group type: P2_1/m, No. 11

=====

Record 7
Crystalline VCo2MoN at its relaxed geometry. Source: the Alexandria database, functional PBE.

abc: 3.754 3.754 4.059
angles: 90.00 90.00 90.00
Fractional positions:
Mo 0.000 0.000 0.500
N 0.000 0.000 0.000
Co 0.000 0.500 0.000
Co 0.500 0.000 0.000
V 0.500 0.500 0.500

Results
Spin magnetization (μB per atom): 0.000
Raw total energy (eV per atom): -8.54
Raw formation energy (kJ/mol of formula units): -19.6
Space-group type: P4/mmm, No. 123

=====

Record 8
Crystalline Sc3BiBr at its relaxed geometry. Source: the Alexandria database, functional PBE.

abc: 5.595 5.595 5.595
angles: 90.00 90.00 90.00
Fractional positions:
Sc 0.000 0.500 0.000
Sc 0.000 0.000 0.500
Sc 0.500 0.000 0.000
Bi 0.000 0.000 0.000
Br 0.500 0.500 0.500

Results
Spin magnetization (μB per atom): 0.871
Raw total energy (eV per atom): -4.59
Raw formation energy (kJ/mol of formula units): 154.7
Space-group type: Pm-3m, No. 221

=====

Record 9
Crystalline BeReRu3 at its relaxed geometry. Source: the Alexandria database, functional PBE.

abc: 4.647 4.647 4.647
angles: 90.00 90.00 90.00
Fractional positions:
Re 0.000 0.000 0.000
Be 0.500 0.500 0.500
Ru 0.000 0.500 0.000
Ru 0.000 0.000 0.500
Ru 0.500 0.000 0.000

Results
Spin magnetization (μB per atom): 0.000
Raw total energy (eV per atom): -6.91
Space-group type: Pm-3m, No. 221

=====

Record 10
Crystalline Tl3HgSe4 at its relaxed geometry. Source: the Alexandria database, functional PBE.

abc: 6.672 6.672 8.022
angles: 114.57 114.57 90.00
Fractional positions:
Tl 0.500 0.500 0.000
Tl 0.750 0.250 0.500
Tl 0.250 0.750 0.500
Hg 0.000 0.000 0.000
Se 0.359 0.359 0.257
Se 0.898 0.898 0.257
Se 0.102 0.641 0.743
Se 0.641 0.102 0.743

Results
Spin magnetization (μB per atom): 0.000
Raw total energy (eV per atom): -2.85
Raw formation energy (kJ/mol of formula units): -142.1
Space-group type: I-42m, No. 121

=====

Record 11
Crystalline RbTlZnGeSe at its relaxed geometry. Source: the Alexandria database, functional PBE.

abc: 4.136 4.851 8.717
angles: 94.66 92.46 109.14
Fractional positions:
Zn 0.018 0.836 0.436
Tl 0.429 0.533 0.670
Ge 0.091 0.950 0.724
Se 0.455 0.709 0.287
Rb 0.764 0.257 0.061

Results
Spin magnetization (μB per atom): 0.000
Raw total energy (eV per atom): -2.83
Raw formation energy (kJ/mol of formula units): -139.8
Space-group type: P1, No. 1

=====

Record 12
Crystalline Nd2Dy7Tm2 at its relaxed geometry. Source: the Alexandria database, functional PBE.

abc: 3.592 10.517 10.517
angles: 66.76 99.87 99.87
Fractional positions:
Nd 0.500 0.733 0.267
Nd 0.500 0.267 0.733
Dy 0.168 0.918 0.419
Dy 0.832 0.581 0.082
Dy 0.832 0.082 0.581
Dy 0.168 0.419 0.918
Dy 0.000 0.000 0.000
Dy 0.621 0.622 0.622
Dy 0.379 0.378 0.378
Tm 0.299 0.800 0.800
Tm 0.701 0.200 0.200

Results
Spin magnetization (μB per atom): 0.000
Raw total energy (eV per atom): -4.48
Space-group type: C2/m, No. 12

=====

Record 13
Crystalline CdFe2Sn at its relaxed geometry. Source: the Alexandria database, functional PBE.

abc: 7.257 7.257 5.846
angles: 51.63 51.63 90.00
Fractional positions:
Fe 0.631 0.125 0.250
Fe 0.119 0.625 0.250
Fe 0.375 0.369 0.750
Fe 0.875 0.881 0.750
Sn 0.000 0.000 0.000
Sn 0.750 0.250 0.500
Cd 0.500 0.500 0.000
Cd 0.250 0.750 0.500

Results
Spin magnetization (μB per atom): 1.254
Raw total energy (eV per atom): -4.84
Space-group type: I-42d, No. 122

=====

Record 14
Crystalline Cu2SbPdPt5 at its relaxed geometry. Source: the Alexandria database, functional PBE.

abc: 6.410 6.410 8.464
angles: 112.25 112.25 90.00
Fractional positions:
Cu 0.121 0.379 0.000
Cu 0.621 0.121 0.000
Cu 0.379 0.879 0.000
Cu 0.879 0.621 0.000
Sb 0.250 0.250 0.500
Sb 0.750 0.750 0.500
Pd 0.250 0.750 0.500
Pd 0.750 0.250 0.500
Pt 0.912 0.412 0.280
Pt 0.632 0.132 0.720
Pt 0.088 0.588 0.720
Pt 0.132 0.088 0.720
Pt 0.588 0.632 0.720
Pt 0.868 0.912 0.280
Pt 0.412 0.368 0.280
Pt 0.368 0.868 0.280
Pt 0.500 0.500 0.000
Pt 0.000 0.000 0.000

Results
Spin magnetization (μB per atom): 0.000
Raw total energy (eV per atom): -5.20
Raw formation energy (kJ/mol of formula units): 91.8
Space-group type: I4/mcm, No. 140

=====

Record 15
Crystalline Na2AlGe2 at its relaxed geometry. Source: the Alexandria database, functional PBE.

abc: 6.736 6.736 4.918
angles: 90.00 90.00 90.00
Fractional positions:
Na 0.174 0.674 0.500
Na 0.674 0.826 0.500
Na 0.826 0.326 0.500
Na 0.326 0.174 0.500
Ge 0.369 0.869 0.000
Ge 0.869 0.631 0.000
Ge 0.631 0.131 0.000
Ge 0.131 0.369 0.000
Al 0.000 0.000 0.000
Al 0.500 0.500 0.000

Results
Spin magnetization (μB per atom): 0.000
Raw total energy (eV per atom): -3.18
Space-group type: P4/mbm, No. 127

=====

Record 16
Crystalline Ac2CN2O2 at its relaxed geometry. Source: the Alexandria database, functional PBE.

abc: 4.173 4.173 8.581
angles: 90.01 90.00 120.00
Fractional positions:
Ac 0.667 0.333 0.186
Ac 0.333 0.667 0.814
C 0.000 0.000 0.500
N 0.000 0.000 0.644
N 0.000 0.000 0.356
O 0.667 0.333 0.896
O 0.333 0.667 0.104

Results
Spin magnetization (μB per atom): 0.000
Raw total energy (eV per atom): -8.38
Raw formation energy (kJ/mol of formula units): -1415.8
Space-group type: P-3m1, No. 164

=====

Record 17
Crystalline Tl2NiPb at its relaxed geometry. Source: the Alexandria database, functional PBE.

abc: 9.135 9.135 9.135
angles: 23.27 23.27 23.27
Fractional positions:
Ni 0.500 0.500 0.500
Pb 0.772 0.772 0.772
Tl 0.998 0.998 0.998
Tl 0.229 0.229 0.229

Results
Spin magnetization (μB per atom): 0.000
Raw total energy (eV per atom): -3.39
Space-group type: R3m, No. 160

=====

Record 18
Crystalline Sr2MoPt at its relaxed geometry. Source: the Alexandria database, functional PBE.

abc: 9.968 9.968 9.968
angles: 20.01 20.01 20.01
Fractional positions:
Mo 0.250 0.250 0.250
Pt 0.750 0.750 0.750
Sr 0.006 0.006 0.006
Sr 0.494 0.494 0.494

Results
Spin magnetization (μB per atom): 0.000
Raw total energy (eV per atom): -4.37
Space-group type: R-3m, No. 166

=====

Record 19
Crystalline BaCa2ScPd at its relaxed geometry. Source: the Alexandria database, functional PBE.

abc: 5.796 5.796 5.258
angles: 90.00 90.00 90.00
Fractional positions:
Sc 0.000 0.000 0.500
Ca 0.000 0.500 0.000
Ca 0.500 0.000 0.000
Ba 0.500 0.500 0.500
Pd 0.000 0.000 0.000

Results
Spin magnetization (μB per atom): 0.000
Raw total energy (eV per atom): -3.71
Space-group type: P4/mmm, No. 123

=====

Record 20
Crystalline KPbI2F at its relaxed geometry. Source: the Alexandria database, functional PBE.

abc: 6.469 6.469 4.742
angles: 90.00 90.00 90.00
Fractional positions:
Pb 0.000 0.000 0.000
I 0.000 0.500 0.000
I 0.500 0.000 0.000
K 0.500 0.500 0.500
F 0.000 0.000 0.500

Results
Spin magnetization (μB per atom): 0.000
Raw total energy (eV per atom): -3.38
Raw formation energy (kJ/mol of formula units): -687.5
Space-group type: P4/mmm, No. 123